[1]
# CrMo4Au

A PBEsol-optimized structure of CrMo4Au (SCAN, Alexandria via LeMat-Bulk).

Summary:
mass density	11.22	g/cm3
DOS at the Fermi energy	0.905	states/eV/atom
total magnetic moment	2.5	μB per formula unit
DFT total energy	-37.405	eV/atom

Structure (extended XYZ):
```
6
Lattice="-2.561 -1.965 3.944 -3.593 -3.526 -0.797 0.811 -4.830 1.413" Properties=species:S:1:pos:R:3 pbc="T T T"
Au -4.008 -7.741 3.421
Cr 0.000 0.000 0.000
Mo -2.004 -3.871 1.711
Mo -1.599 -6.285 2.417
Mo -3.284 -4.853 3.682
Mo -3.800 -5.633 1.313
```

---

[2]
# CrMoAu

A PBEsol-optimized structure of CrMoAu (SCAN, Alexandria via LeMat-Bulk).

Summary:
offset from the most stable computed form	0.0000	eV/atom
mass density	13.03	g/cm3
DOS at the Fermi energy	0.812	states/eV/atom
total magnetic moment	3.0	μB per formula unit

Structure (extended XYZ):
```
3
Lattice="-0.482 2.316 -1.228 -0.444 -1.302 -2.283 -5.534 -0.990 3.197" Properties=species:S:1:pos:R:3 pbc="T T T"
Au -0.059 -0.005 0.014
Cr -2.495 0.343 -1.267
Mo -3.905 -0.314 0.939
```

---

[3]
# CrMoAu2

A PBEsol-optimized structure of CrMoAu2 (SCAN, Alexandria via LeMat-Bulk).

Summary:
mass density	14.57	g/cm3
DOS at the Fermi energy	0.578	states/eV/atom
total magnetic moment	1.8	μB per formula unit
DFT total energy	-47.656	eV/atom

Structure (extended XYZ):
```
4
Lattice="2.982 0.000 0.000 0.000 4.480 -0.101 -1.491 -0.921 4.644" Properties=species:S:1:pos:R:3 pbc="T T T"
Au 0.000 0.658 2.292
Au 1.491 2.902 2.251
Cr 1.491 0.000 0.000
Mo 0.000 2.240 -0.050
```

---

[4]
# Cr2MoAu

A PBEsol-optimized structure of Cr2MoAu (SCAN, Alexandria via LeMat-Bulk).

Summary:
offset from the most stable computed form	0.0914	eV/atom
mass density	12.10	g/cm3
DOS at the Fermi energy	0.904	states/eV/atom
total magnetic moment	0.0	μB per formula unit

Structure (extended XYZ):
```
4
Lattice="-2.285 2.248 2.187 -1.322 -3.142 1.849 4.455 0.768 0.422" Properties=species:S:1:pos:R:3 pbc="T T T"
Au -0.661 -1.571 0.924
Cr -0.478 -0.287 3.238
Cr 1.326 0.160 1.221
Mo -1.142 1.124 1.094
```

---

[5]
# Cr2MoAuO

A PBEsol-optimized structure of Cr2MoAuO (SCAN, Alexandria via LeMat-Bulk).

Summary:
mass density	8.03	g/cm3
DOS at the Fermi energy	0.437	states/eV/atom
total magnetic moment	6.8	μB per formula unit
E_form (uncorrected)	0.27	eV per atom

Structure (extended XYZ):
```
5
Lattice="-2.831 -2.431 0.050 0.936 -0.996 4.583 -2.972 3.490 1.366" Properties=species:S:1:pos:R:3 pbc="T T T"
Cr -1.486 1.745 0.683
Cr 0.468 -0.498 2.292
Mo 0.000 0.000 0.000
Au -2.433 0.031 2.999
O -1.416 -1.215 0.025
```

---

[6]
# CrPAu2N

A PBEsol-optimized structure of CrPAu2N (SCAN, Alexandria via LeMat-Bulk).

Summary:
mass density	10.87	g/cm3
DOS at the Fermi energy	0.430	states/eV/atom
total magnetic moment	2.9	μB per formula unit
E_form (uncorrected)	0.56	eV per atom

Structure (extended XYZ):
```
5
Lattice="-1.492 3.069 1.337 -4.070 -1.354 -1.433 -0.705 -2.068 3.960" Properties=species:S:1:pos:R:3 pbc="T T T"
Cr -0.746 1.534 0.669
N 0.000 0.000 0.000
Au -0.353 -1.034 1.980
Au -2.035 -0.677 -0.716
P -3.134 -0.177 1.932
```

---

[7]
# NaCr3Au

A PBEsol-optimized structure of NaCr3Au (SCAN, Alexandria via LeMat-Bulk).

Summary:
mass density	5.80	g/cm3
DOS at the Fermi energy	0.377	states/eV/atom
total magnetic moment	14.5	μB per formula unit
DFT total energy	-24.155	eV/atom

Structure (extended XYZ):
```
5
Lattice="4.756 0.000 0.000 0.000 4.756 0.000 0.000 0.000 4.756" Properties=species:S:1:pos:R:3 pbc="T T T"
Cr 0.000 2.378 0.000
Cr 0.000 0.000 2.378
Cr 2.378 0.000 0.000
Au 2.378 2.378 2.378
Na 0.000 0.000 0.000
```

---

[8]
# NaCr2RuAu

A PBEsol-optimized structure of NaCr2RuAu (SCAN, Alexandria via LeMat-Bulk).

Summary:
mass density	6.20	g/cm3
DOS at the Fermi energy	0.833	states/eV/atom
total magnetic moment	10.7	μB per formula unit
DFT total energy	-27.643	eV/atom

Structure (extended XYZ):
```
5
Lattice="4.850 0.000 0.000 0.000 4.850 0.000 0.000 0.000 4.836" Properties=species:S:1:pos:R:3 pbc="T T T"
Na 0.000 0.000 2.418
Ru 2.425 2.425 2.418
Au 0.000 0.000 0.000
Cr 0.000 2.425 0.000
Cr 2.425 0.000 0.000
```